--- 1 ---
DFT (GGA-PBEsol) results for a geometry-optimized B2SeS structure.

Lattice parameters (Å, degrees): 5.184 5.184 7.260 90.00 90.00 90.00
Space group I-42d (No. 122)
One atom of each set of equivalent atoms:
1 B 0.219 0.250 0.125 [8 per cell]
2 Se 0.000 0.000 0.500 [4 per cell]
3 S 0.000 0.000 0.000 [4 per cell]

=====

--- 2 ---
DFT (GGA-PBEsol) results for a geometry-optimized B2SeS structure.

Lattice parameters (Å, degrees): 5.717 5.717 5.717 90.00 90.00 90.00
Space group Fm-3m (No. 225)
One atom of each set of equivalent atoms:
1 B 0.250 0.250 0.250 [8 per cell]
2 Se 0.000 0.000 0.000 [4 per cell]
3 S 0.000 0.000 0.500 [4 per cell]

=====

Relative energies, meV/atom: 1 0; 2 1088.

=====

--- 1 ---
DFT (GGA-PBEsol) results for a geometry-optimized SrB2S4 structure.

Lattice parameters (Å, degrees): 8.6043 8.6043 21.3866 90.00 90.00 120.00
Space group R-3 (No. 148, hexagonal axes)
One atom of each set of equivalent atoms:
1 Sr 0.0000 0.0000 0.0000 [3 per cell]
2 Sr 0.0000 0.0000 0.1941 [6 per cell]
3 B 0.0334 0.8162 0.5809 [18 per cell]
4 S 0.0355 0.8029 0.4151 [18 per cell]
5 S 0.0478 0.7665 0.9067 [18 per cell]

=====

--- 2 ---
DFT (GGA-PBEsol) results for a geometry-optimized SrB2S4 structure.

Lattice parameters (Å, degrees): 6.441 14.090 6.057 90.00 110.14 90.00
Space group P2_1/c (No. 14)
One atom of each set of equivalent atoms:
1 Sr 0.189 0.103 0.301 [4 per cell]
2 B 0.270 0.727 0.823 [4 per cell]
3 B 0.466 0.584 0.571 [4 per cell]
4 S 0.083 0.739 0.008 [4 per cell]
5 S 0.265 0.007 0.855 [4 per cell]
6 S 0.369 0.599 0.833 [4 per cell]
7 S 0.470 0.197 0.056 [4 per cell]

=====

Relative energies, meV/atom: 1 65; 2 0.

=====

--- 1 ---
DFT (GGA-PBEsol) results for a geometry-optimized B2TeSe structure.

Lattice parameters (Å, degrees): 6.148 6.148 6.148 90.00 90.00 90.00
Space group Fm-3m (No. 225)
One atom of each set of equivalent atoms:
1 B 0.250 0.250 0.250 [8 per cell]
2 Te 0.000 0.000 0.000 [4 per cell]
3 Se 0.000 0.000 0.500 [4 per cell]

=====

--- 2 ---
DFT (GGA-PBEsol) results for a geometry-optimized B2TeSe structure.

Lattice parameters (Å, degrees): 5.638 5.638 7.875 90.00 90.00 90.00
Space group I-42d (No. 122)
One atom of each set of equivalent atoms:
1 B 0.220 0.250 0.125 [8 per cell]
2 Te 0.000 0.000 0.500 [4 per cell]
3 Se 0.000 0.000 0.000 [4 per cell]

=====

Relative energies, meV/atom: 1 782; 2 0.